Entry 1:
The following is a DFT calculation (GGA-PBE) of an optimized crystal structure of NaHg2Br4.

a b c (Å): 8.3838 9.9794 8.3836
angles (deg): 79.73 64.17 107.11
Closest atoms and distances in Å follow each position.
Element x y z (fractional)
1 Br 0.1975 0.9877 0.7103  1 Hg 2.68, 2 Na 3.00
2 Hg 0.9525 0.6404 0.8111  2 Br 2.49
3 Hg 0.0387 0.0374 0.5020  4 Br 2.65-2.79
4 Br 0.7661 0.1349 0.6559  1 Hg 2.65
5 Br 0.6865 0.6104 0.1248  1 Hg 2.49
6 Br 0.2898 0.1348 0.1322  1 Hg 2.65
7 Hg 0.5168 0.9499 0.0672  2 Br 2.54-2.55
8 Na 0.9818 0.8676 0.1354  6 Br 2.99-3.10
9 Br 0.2365 0.6113 0.5737  1 Hg 2.49
10 Br 0.2809 0.7354 0.0446  1 Hg 2.55
11 Br 0.7384 0.0483 0.1905  1 Hg 2.54
12 Br 0.8042 0.7487 0.5554  2 Hg 2.79-3.10, 2 Na 2.99
13 Na 0.5031 0.8678 0.6140  6 Br 2.99-3.11
14 Hg 0.5073 0.3753 0.6329  6 Br 3.57-3.83

Space-group type = P1
Uncorrected formation energy = -4.949 eV per formula unit
Total magnetization = 0.00 μB/f.u.

---

Entry 2:
The following is a DFT calculation (GGA-PBE) of an optimized crystal structure of NaHgBrO.

a b c (Å): 3.6197 3.5935 7.2756
angles (deg): 90.00 90.00 90.00
Closest atoms and distances in Å follow each position.
Element x y z (fractional)
1 Na 0.0000 0.0000 0.7946  4 O 2.60
2 Br 0.0000 0.5000 0.1660  2 Hg 2.74
3 O 0.5000 0.5000 0.7260  1 Hg 2.02
4 Hg 0.5000 0.5000 0.4480  1 O 2.02

Space-group type = Pmm2
Uncorrected formation energy = -2.732 eV per formula unit
Total magnetization = 0.00 μB/f.u.

---

Entry 3:
The following is a DFT calculation (GGA-PBE) of an optimized crystal structure of NaPaHg2Br6.

a b c (Å): 8.2023 8.2133 11.6089
angles (deg): 90.00 90.09 90.00
Closest atoms and distances in Å follow each position.
Element x y z (fractional)
1 Br 0.7382 0.7699 0.5014  1 Pa 2.72
2 Hg 0.4993 0.4997 0.7497  12 Br 4.06-4.15
3 Na 0.5000 0.0000 0.0000  6 Br 3.09
4 Hg 0.0007 0.9997 0.7503  12 Br 4.06-4.15
5 Hg 0.9993 0.0003 0.2497  12 Br 4.06-4.15
6 Na 0.0000 0.5000 0.5000  6 Br 3.09
7 Br 0.2305 0.2623 0.0017  1 Pa 2.72
8 Br 0.2695 0.7623 0.4983  1 Pa 2.72
9 Br 0.2618 0.2301 0.4986  1 Pa 2.72
10 Br 0.0025 0.4997 0.7658  1 Pa 2.72
11 Br 0.2382 0.7301 0.0014  1 Pa 2.72
12 Br 0.5025 0.0003 0.2658  1 Pa 2.72
13 Pa 0.5000 0.0000 0.5000  6 Br 2.72
14 Br 0.4975 0.9997 0.7342  1 Pa 2.72
15 Br 0.7695 0.7377 0.9983  1 Pa 2.72
16 Br 0.9975 0.5003 0.2342  1 Pa 2.72
17 Br 0.7305 0.2377 0.5017  1 Pa 2.72
18 Hg 0.5007 0.5003 0.2503  12 Br 4.06-4.15
19 Pa 0.0000 0.5000 0.0000  6 Br 2.72
20 Br 0.7618 0.2699 0.9986  1 Pa 2.72

Space-group type = P2_1/c
Uncorrected formation energy = -11.253 eV per formula unit
Total magnetization = 0.00 μB/f.u.

---

Entry 4:
The following is a DFT calculation (GGA-PBE) of an optimized crystal structure of Na2HgPbBr6.

a b c (Å): 7.4897 7.4881 8.0091
angles (deg): 62.12 62.09 59.98
Closest atoms and distances in Å follow each position.
Element x y z (fractional)
1 Br 0.4152 0.7109 0.7595  2 Na 2.96-3.05, 1 Hg 2.96, 1 Pb 2.99
2 Hg 0.3178 0.3174 0.0472  6 Br 2.81-2.96
3 Na 0.5162 0.5162 0.4517  6 Br 3.00-3.05
4 Br 0.1141 0.4154 0.7596  2 Na 2.96-3.05, 1 Hg 2.96, 1 Pb 2.99
5 Br 0.7109 0.1141 0.7598  1 Hg 2.96, 2 Na 2.96-3.05, 1 Pb 2.99
6 Pb 0.8172 0.8172 0.5482  6 Br 2.99-3.13
7 Br 0.2262 0.9349 0.2446  1 Hg 2.81, 2 Na 3.00-3.07, 1 Pb 3.13
8 Br 0.9351 0.5941 0.2447  1 Hg 2.81, 2 Na 3.00-3.07, 1 Pb 3.13
9 Br 0.5940 0.2262 0.2448  1 Hg 2.81, 2 Na 3.00-3.07, 1 Pb 3.13
10 Na 0.0149 0.0152 0.9551  6 Br 2.96-3.07

Space-group type = R3
Uncorrected formation energy = -10.025 eV per formula unit
Total magnetization = 0.00 μB/f.u.
DOS(E_F) = 0.0 states/eV per cell

---

Entry 5:
The following is a DFT calculation (GGA-PBE) of an optimized crystal structure of NaHgPdBr6.

a b c (Å): 6.8391 6.8391 12.0081
angles (deg): 90.00 90.00 90.00
Closest atoms and distances in Å follow each position.
Element x y z (fractional)
1 Br 0.6803 0.6803 0.6852  1 Pd 2.50
2 Br 0.7119 0.7119 0.3241  1 Hg 2.71, 1 Pd 2.79, 1 Na 2.90
3 Br 0.2881 0.2881 0.3241  1 Hg 2.71, 1 Pd 2.79, 1 Na 2.90
4 Br 0.8239 0.1761 0.4874  1 Pd 2.50
5 Na 0.0000 0.0000 0.9955  6 Br 2.87-3.13
6 Br 0.3239 0.3239 0.9874  1 Pd 2.50
7 Hg 0.5000 0.5000 0.1763  4 Br 2.71-2.84
8 Pd 0.5000 0.5000 0.8348  6 Br 2.50-2.79
9 Br 0.2119 0.7881 0.8241  1 Hg 2.71, 1 Pd 2.79, 1 Na 2.90
10 Br 0.6761 0.6761 0.9874  1 Pd 2.50
11 Br 0.1803 0.8197 0.1852  1 Pd 2.50
12 Na 0.5000 0.5000 0.4955  6 Br 2.87-3.13
13 Br 0.1761 0.8239 0.4874  1 Pd 2.50
14 Br 0.3197 0.3197 0.6852  1 Pd 2.50
15 Br 0.8197 0.1803 0.1852  1 Pd 2.50
16 Br 0.7881 0.2119 0.8241  1 Hg 2.71, 1 Pd 2.79, 1 Na 2.90
17 Hg 0.0000 0.0000 0.6763  4 Br 2.71-2.84
18 Pd 0.0000 0.0000 0.3348  6 Br 2.50-2.79

Space-group type = P4_2nm
Uncorrected formation energy = -4.825 eV per formula unit
Total magnetization = 0.00 μB/f.u.
DOS(E_F) = 4.9 states/eV per cell

---

Entry 6:
The following is a DFT calculation (GGA-PBE) of an optimized crystal structure of NaHg2PdBr6.

a b c (Å): 7.9048 7.0733 8.7481
angles (deg): 62.43 52.10 58.96
Closest atoms and distances in Å follow each position.
Element x y z (fractional)
1 Br 0.9267 0.5442 0.2759  1 Pd 2.50, 1 Hg 2.73
2 Br 0.7028 0.1097 0.8003  1 Pd 2.54, 1 Hg 2.76
3 Br 0.2427 0.9608 0.2786  1 Pd 2.53, 1 Hg 2.70
4 Hg 0.5224 0.5541 0.3711  4 Br 2.70-2.95
5 Pd 0.3110 0.3276 0.0407  4 Br 2.50-2.57
6 Hg 0.9907 0.0591 0.9058  4 Br 2.69-2.76
7 Br 0.6536 0.1585 0.2736  2 Hg 2.75-2.79, 1 Na 2.97
8 Br 0.3749 0.7017 0.8026  1 Pd 2.57, 1 Hg 2.69
9 Br 0.1144 0.4358 0.7144  2 Hg 2.72-2.95, 1 Na 2.93
10 Na 0.8223 0.8101 0.5521  6 Br 2.93-3.20

Space-group type = P1
Uncorrected formation energy = -5.221 eV per formula unit
Total magnetization = 0.00 μB/f.u.
DOS(E_F) = 4.4 states/eV per cell

---

Entry 7:
The following is a DFT calculation (GGA-PBE) of an optimized crystal structure of RbNa2HgBr4.

a b c (Å): 4.9417 7.8856 14.9250
angles (deg): 90.00 90.00 108.26
Closest atoms and distances in Å follow each position.
Element x y z (fractional)
1 Na 0.3782 0.7564 0.9532  3 Br 2.92-3.15
2 Rb 0.8615 0.7230 0.2500  6 Br 3.58-3.61, 1 Hg 3.91
3 Br 0.4628 0.9256 0.7500  2 Hg 2.78
4 Br 0.2602 0.5205 0.3908  1 Na 2.92, 1 Hg 2.95
5 Rb 0.1385 0.2770 0.7500  6 Br 3.58-3.61, 1 Hg 3.91
6 Na 0.6218 0.2436 0.0468  3 Br 2.92-3.15
7 Na 0.3782 0.7564 0.5468  3 Br 2.92-3.15
8 Hg 0.8776 0.7551 0.7500  4 Br 2.78-2.95
9 Br 0.0000 0.0000 0.5000  4 Na 3.15
10 Br 0.7398 0.4795 0.8908  1 Na 2.92, 1 Hg 2.95
11 Na 0.6218 0.2436 0.4532  3 Br 2.92-3.15
12 Br 0.5372 0.0744 0.2500  2 Hg 2.78
13 Br 0.2602 0.5205 0.1092  1 Na 2.92, 1 Hg 2.95
14 Br 0.0000 0.0000 0.0000  4 Na 3.15
15 Hg 0.1224 0.2449 0.2500  4 Br 2.78-2.95
16 Br 0.7398 0.4795 0.6092  1 Na 2.92, 1 Hg 2.95

Space-group type = Cmcm
Uncorrected formation energy = -9.412 eV per formula unit
Total magnetization = 0.00 μB/f.u.
DOS(E_F) = 2.6 states/eV per cell

---

Entry 8:
The following is a DFT calculation (GGA-PBE) of an optimized crystal structure of Rb2NaHg2Br6.

a b c (Å): 8.2161 7.9815 8.8849
angles (deg): 114.82 90.00 120.98
Closest atoms and distances in Å follow each position.
Element x y z (fractional)
1 Rb 0.2793 0.5585 0.8161  5 Br 3.43-3.60
2 Br 0.2026 0.8641 0.1997  1 Hg 2.74, 1 Na 3.02
3 Br 0.2582 0.5164 0.4151  1 Hg 2.65
4 Rb 0.7207 0.4415 0.1839  5 Br 3.43-3.60
5 Hg 0.0426 0.0852 0.1799  3 Br 2.65-2.74, 1 Hg 2.82
6 Br 0.3385 0.1359 0.8003  1 Hg 2.74, 1 Na 3.02
7 Br 0.7418 0.4836 0.5849  1 Hg 2.65
8 Na 0.5000 0.0000 0.5000  6 Br 3.01-3.02
9 Br 0.6615 0.8641 0.1997  1 Hg 2.74, 1 Na 3.02
10 Hg 0.9574 0.9148 0.8201  3 Br 2.65-2.74, 1 Hg 2.82
11 Br 0.7974 0.1359 0.8003  1 Hg 2.74, 1 Na 3.02

Space-group type = C2/m
Uncorrected formation energy = -11.483 eV per formula unit
Total magnetization = 0.00 μB/f.u.
DOS(E_F) = 4.7 states/eV per cell

---

Entry 9:
The following is a DFT calculation (GGA-PBE) of an optimized crystal structure of RbNa2Hg2Br7.

a b c (Å): 5.8479 7.0611 11.1809
angles (deg): 108.41 105.16 90.00
Closest atoms and distances in Å follow each position.
Element x y z (fractional)
1 Br 0.8876 0.4026 0.7753  1 Na 2.90, 2 Hg 2.95
2 Na 0.7455 0.2804 0.4910  5 Br 2.90-2.99
3 Br 0.3951 0.8447 0.7902  1 Hg 2.65, 1 Na 2.93
4 Na 0.2545 0.7894 0.5090  5 Br 2.90-2.99
5 Rb 0.0000 0.0667 0.0000  8 Br 3.62-3.91
6 Br 0.2602 0.2183 0.5203  1 Hg 2.73, 3 Na 2.99
7 Br 0.6049 0.0546 0.2098  1 Hg 2.65, 1 Na 2.93
8 Hg 0.3876 0.4626 0.7751  5 Br 2.65-2.95
9 Br 0.5000 0.3677 0.0000  2 Hg 2.72
10 Hg 0.6124 0.6875 0.2249  5 Br 2.65-2.95
11 Br 0.7398 0.6979 0.4797  1 Hg 2.73, 3 Na 2.99
12 Br 0.1124 0.6273 0.2247  1 Na 2.90, 2 Hg 2.95

Space-group type = Imm2
Uncorrected formation energy = -12.176 eV per formula unit
Total magnetization = 0.00 μB/f.u.

---

Entry 10:
The following is a DFT calculation (GGA-PBE) of an optimized crystal structure of Rb2NaHgBr4.

a b c (Å): 6.3436 8.4427 13.0810
angles (deg): 84.77 75.97 67.93
Closest atoms and distances in Å follow each position.
Element x y z (fractional)
1 Br 0.4672 0.7447 0.3812  1 Na 2.81, 1 Hg 3.02
2 Na 0.7500 0.5000 0.5000  4 Br 2.81
3 Br 0.1516 0.2553 0.3812  1 Na 2.81, 1 Hg 3.02
4 Br 0.2828 0.7553 0.1188  1 Na 2.81, 1 Hg 3.02
5 Rb 0.1809 0.0000 0.6381  8 Br 3.60-3.92
6 Br 0.7880 0.7447 0.6188  1 Na 2.81, 1 Hg 3.02
7 Na 0.0000 0.0000 0.0000  4 Br 2.81
8 Rb 0.8191 0.0000 0.3619  8 Br 3.60-3.92
9 Rb 0.5691 0.5000 0.8619  8 Br 3.60-3.92
10 Br 0.1569 0.2447 0.8812  1 Na 2.81, 1 Hg 3.02
11 Br 0.5984 0.2447 0.1188  1 Na 2.81, 1 Hg 3.02
12 Rb 0.9309 0.5000 0.1381  8 Br 3.60-3.92
13 Hg 0.2500 0.5000 0.5000  4 Br 3.02, 2 Na 3.17
14 Hg 0.5000 0.0000 0.0000  4 Br 3.02, 2 Na 3.17
15 Br 0.5931 0.2553 0.6188  1 Na 2.81, 1 Hg 3.02
16 Br 0.9620 0.7553 0.8812  1 Na 2.81, 1 Hg 3.02

Space-group type = Fddd
Uncorrected formation energy = -9.467 eV per formula unit
Total magnetization = 0.58 μB/f.u.
DOS(E_F) = 9.9 states/eV per cell

---

Entry 11:
The following is a DFT calculation (GGA-PBE) of an optimized crystal structure of RbNaHgBr4.

a b c (Å): 7.4901 7.7404 9.3035
angles (deg): 90.00 106.47 90.00
Closest atoms and distances in Å follow each position.
Element x y z (fractional)
1 Br 0.0142 0.5065 0.7203  1 Hg 2.69
2 Hg 0.2393 0.7500 0.3339  4 Br 2.62-2.69
3 Br 0.9858 0.4935 0.2797  1 Hg 2.69
4 Br 0.5672 0.2500 0.8670  1 Hg 2.67
5 Br 0.4946 0.7500 0.5935  1 Hg 2.62
6 Na 0.7831 0.7500 0.4353  4 Br 2.94-3.26
7 Br 0.9858 0.0065 0.2797  1 Hg 2.69
8 Hg 0.7607 0.2500 0.6661  4 Br 2.62-2.69
9 Br 0.5054 0.2500 0.4065  1 Hg 2.62
10 Na 0.2169 0.2500 0.5647  4 Br 2.94-3.26
11 Rb 0.7725 0.7500 0.9495  6 Br 3.38-3.68
12 Br 0.4328 0.7500 0.1330  1 Hg 2.67
13 Rb 0.2275 0.2500 0.0505  6 Br 3.38-3.68
14 Br 0.0142 0.9935 0.7203  1 Hg 2.69

Space-group type = P2_1/m
Uncorrected formation energy = -7.857 eV per formula unit
Total magnetization = 0.00 μB/f.u.
DOS(E_F) = 0.0 states/eV per cell

---

Entry 12:
The following is a DFT calculation (GGA-PBE) of an optimized crystal structure of Na2ReHgBr.

a b c (Å): 5.7367 5.2135 5.7367
angles (deg): 90.00 90.00 90.00
Closest atoms and distances in Å follow each position.
Element x y z (fractional)
1 Br 0.5000 0.5000 0.5000  8 Na 3.88, 4 Re 4.06
2 Na 0.5000 0.0000 0.0000  2 Hg 2.87
3 Hg 0.0000 0.0000 0.0000  2 Re 2.61, 4 Na 2.87
4 Na 0.0000 0.0000 0.5000  2 Hg 2.87
5 Re 0.0000 0.5000 0.0000  2 Hg 2.61

Space-group type = P4/mmm
Uncorrected formation energy = 3.654 eV per formula unit
Total magnetization = 3.51 μB/f.u.
Offset from the most stable computed form = 0.0000 eV/atom
DOS(E_F) = 1.5 states/eV per cell